# PBE HfAl2Ru, relaxed
# DFT total energy in eV per cell: -28.87
# Formation energy in kJ/mol of formula units: -208
data_HfAl2Ru
_cell_length_a 3.063
_cell_length_b 3.063
_cell_length_c 6.891
_cell_angle_alpha 90.00
_cell_angle_beta 90.00
_cell_angle_gamma 90.00
_symmetry_space_group_name_H-M 'P 4/m m m'
_symmetry_Int_Tables_number 123
_symmetry_space_group_name_Hall '-P 4 2'
loop_
_atom_site_label
_atom_site_fract_x
_atom_site_fract_y
_atom_site_fract_z
_atom_site_occupancy
Hf1 0.000 0.000 0.000 1
Al1 0.500 0.500 0.298 1
Ru1 0.000 0.000 0.500 1

# PBE HfAl3Ru, relaxed
# Energy above the most stable polymorph in this dataset in eV/atom: 0.000
# DFT total energy in eV per cell: -99.33
# Formation energy in kJ/mol of formula units: -256
data_HfAl3Ru
_cell_length_a 6.258
_cell_length_b 6.258
_cell_length_c 6.258
_cell_angle_alpha 90.00
_cell_angle_beta 90.00
_cell_angle_gamma 90.00
_symmetry_space_group_name_H-M 'P m -3 m'
_symmetry_Int_Tables_number 221
_symmetry_space_group_name_Hall '-P 4 2 3'
loop_
_atom_site_label
_atom_site_fract_x
_atom_site_fract_y
_atom_site_fract_z
_atom_site_occupancy
Hf1 0.000 0.000 0.500 1
Al1 0.000 0.000 0.000 1
Al2 0.286 0.286 0.286 1
Ru1 0.000 0.500 0.500 1

# PBE Hf2AlRu3, relaxed
# DFT total energy in eV per cell: -56.17
# Formation energy in kJ/mol of formula units: -452
data_Hf2AlRu3
_cell_length_a 3.192
_cell_length_b 3.192
_cell_length_c 9.373
_cell_angle_alpha 90.00
_cell_angle_beta 90.00
_cell_angle_gamma 90.00
_symmetry_space_group_name_H-M 'P 4/m m m'
_symmetry_Int_Tables_number 123
_symmetry_space_group_name_Hall '-P 4 2'
loop_
_atom_site_label
_atom_site_fract_x
_atom_site_fract_y
_atom_site_fract_z
_atom_site_occupancy
Hf1 0.000 0.000 0.177 1
Al1 0.000 0.000 0.500 1
Ru1 0.500 0.500 0.000 1
Ru2 0.500 0.500 0.345 1

# PBE HfAlRu2, relaxed
# DFT total energy in eV per cell: -35.30
# Formation energy in kJ/mol of formula units: -295
data_HfAlRu2
_cell_length_a 4.380
_cell_length_b 4.380
_cell_length_c 3.195
_cell_angle_alpha 90.00
_cell_angle_beta 90.00
_cell_angle_gamma 90.00
_symmetry_space_group_name_H-M 'P 4/m m m'
_symmetry_Int_Tables_number 123
_symmetry_space_group_name_Hall '-P 4 2'
loop_
_atom_site_label
_atom_site_fract_x
_atom_site_fract_y
_atom_site_fract_z
_atom_site_occupancy
Hf1 0.000 0.000 0.000 1
Al1 0.500 0.500 0.000 1
Ru1 0.000 0.500 0.500 1

# PBE Hf2Al2Ru, relaxed
# DFT total energy in eV per cell: -77.55
# Formation energy in kJ/mol of formula units: -203
data_Hf2Al2Ru
_cell_length_a 6.736
_cell_length_b 6.736
_cell_length_c 3.900
_cell_angle_alpha 90.00
_cell_angle_beta 90.00
_cell_angle_gamma 90.00
_symmetry_space_group_name_H-M 'P 4/m b m'
_symmetry_Int_Tables_number 127
_symmetry_space_group_name_Hall '-P 4 2ab'
loop_
_atom_site_label
_atom_site_fract_x
_atom_site_fract_y
_atom_site_fract_z
_atom_site_occupancy
Hf1 0.170 0.330 0.000 1
Al1 0.134 0.634 0.500 1
Ru1 0.000 0.000 0.500 1

# PBE Hf6Al2Ru, relaxed
# DFT total energy in eV per cell: -156.20
# Formation energy in kJ/mol of formula units: -156
data_Hf6Al2Ru
_cell_length_a 5.338
_cell_length_b 7.912
_cell_length_c 9.753
_cell_angle_alpha 90.00
_cell_angle_beta 117.11
_cell_angle_gamma 90.00
_symmetry_space_group_name_H-M 'P 1 21/c 1'
_symmetry_Int_Tables_number 14
loop_
_symmetry_equiv_pos_as_xyz
'x,y,z'
'-x,-y,-z'
'-x,y+1/2,-z+1/2'
'x,-y+1/2,z+1/2'
loop_
_atom_site_label
_atom_site_fract_x
_atom_site_fract_y
_atom_site_fract_z
_atom_site_occupancy
Hf1 0.042 0.171 0.447 1
Hf2 0.366 0.682 0.445 1
Hf3 0.396 0.035 0.287 1
Al1 0.154 0.115 0.760 1
Ru1 0.000 0.000 0.000 1

Number 1: N(E_F) 0.79 states/eV/atom. Number 2: N(E_F) 0.41 states/eV/atom. Number 3: N(E_F) 0.46 states/eV/atom. Number 4: N(E_F) 0.46 states/eV/atom. Number 5: N(E_F) 0.37 states/eV/atom. Number 6: N(E_F) 0.80 states/eV/atom.